# ZnCd2Ag

A relaxed structure of ZnCd2Ag (PBE, the Open Quantum Materials Database).

Values from the calculation:
As for the energy of formation: 0.9 kcal/mol of atoms. As for the symmetry: F-43m, No. 216.

Lattice parameters (Å, degrees): 4.749 4.749 4.749 60.00 60.00 60.00
Sites, in units of the cell vectors:
Zn 0.000 0.000 0.000
Cd 0.500 0.500 0.500
Cd 0.750 0.750 0.750
Ag 0.250 0.250 0.250

# LiNbZn

A relaxed structure of LiNbZn (PBE, the Open Quantum Materials Database).

Values from the calculation:
Its polymorph energy (0 for the lowest one) is 0.275 eV/atom. As for the symmetry: F-43m, No. 216. As for the spin magnetization: 0.00 μB per atom.

Lattice parameters (Å, degrees): 4.288 4.288 4.288 60.00 60.00 60.00
Sites, in units of the cell vectors:
Li 0.000 0.000 0.000
Nb 0.250 0.250 0.250
Zn 0.500 0.500 0.500

# AgB6H6

A relaxed structure of AgB6H6 (PBE, the Open Quantum Materials Database).

Values from the calculation:
The energy comes out at -4.980 eV/atom. As for the symmetry: Pa-3, No. 205.

Lattice parameters (Å, degrees): 9.615 9.615 9.615 90.00 90.00 90.00
Sites, in units of the cell vectors:
Ag 0.121 0.121 0.121
Ag 0.121 0.379 0.621
Ag 0.379 0.621 0.121
Ag 0.379 0.879 0.621
Ag 0.621 0.121 0.379
Ag 0.621 0.379 0.879
Ag 0.879 0.621 0.379
Ag 0.879 0.879 0.879
B 0.037 0.537 0.832
B 0.037 0.668 0.963
B 0.037 0.832 0.463
B 0.037 0.963 0.332
B 0.089 0.591 0.122
B 0.089 0.909 0.622
B 0.091 0.122 0.411
B 0.091 0.378 0.911
B 0.122 0.089 0.591
B 0.122 0.411 0.091
B 0.168 0.537 0.963
B 0.168 0.963 0.463
B 0.332 0.037 0.963
B 0.332 0.463 0.463
B 0.378 0.589 0.591
B 0.378 0.911 0.091
B 0.409 0.622 0.411
B 0.409 0.878 0.911
B 0.411 0.091 0.122
B 0.411 0.409 0.622
B 0.463 0.037 0.832
B 0.463 0.168 0.963
B 0.463 0.332 0.463
B 0.463 0.463 0.332
B 0.537 0.537 0.668
B 0.537 0.668 0.537
B 0.537 0.832 0.037
B 0.537 0.963 0.168
B 0.589 0.591 0.378
B 0.589 0.909 0.878
B 0.591 0.122 0.089
B 0.591 0.378 0.589
B 0.622 0.089 0.909
B 0.622 0.411 0.409
B 0.668 0.537 0.537
B 0.668 0.963 0.037
B 0.832 0.037 0.537
B 0.832 0.463 0.037
B 0.878 0.589 0.909
B 0.878 0.911 0.409
B 0.909 0.622 0.089
B 0.909 0.878 0.589
B 0.911 0.091 0.378
B 0.911 0.409 0.878
B 0.963 0.037 0.668
B 0.963 0.168 0.537
B 0.963 0.332 0.037
B 0.963 0.463 0.168
H 0.061 0.569 0.711
H 0.061 0.931 0.211
H 0.069 0.711 0.439
H 0.069 0.789 0.939
H 0.148 0.655 0.210
H 0.148 0.845 0.710
H 0.155 0.210 0.352
H 0.155 0.290 0.852
H 0.210 0.148 0.655
H 0.210 0.352 0.155
H 0.211 0.061 0.931
H 0.211 0.439 0.431
H 0.289 0.561 0.931
H 0.289 0.939 0.431
H 0.290 0.648 0.655
H 0.290 0.852 0.155
H 0.345 0.710 0.352
H 0.345 0.790 0.852
H 0.352 0.155 0.210
H 0.352 0.345 0.710
H 0.431 0.211 0.439
H 0.431 0.289 0.939
H 0.439 0.069 0.711
H 0.439 0.431 0.211
H 0.561 0.569 0.789
H 0.561 0.931 0.289
H 0.569 0.711 0.061
H 0.569 0.789 0.561
H 0.648 0.655 0.290
H 0.648 0.845 0.790
H 0.655 0.210 0.148
H 0.655 0.290 0.648
H 0.710 0.148 0.845
H 0.710 0.352 0.345
H 0.711 0.061 0.569
H 0.711 0.439 0.069
H 0.789 0.561 0.569
H 0.789 0.939 0.069
H 0.790 0.648 0.845
H 0.790 0.852 0.345
H 0.845 0.710 0.148
H 0.845 0.790 0.648
H 0.852 0.155 0.290
H 0.852 0.345 0.790
H 0.931 0.211 0.061
H 0.931 0.289 0.561
H 0.939 0.069 0.789
H 0.939 0.431 0.289

# PrYSO2

A relaxed structure of PrYSO2 (PBE, the Open Quantum Materials Database).

Values from the calculation:
The energy comes out at -8.147 eV/atom. As for the symmetry: P3m1, No. 156. As for the spin magnetization: 0.00 μB per atom.

Lattice parameters (Å, degrees): 3.909 3.909 6.733 90.00 90.00 120.00
Sites, in units of the cell vectors:
Pr 0.000 0.000 0.000
Y 0.667 0.333 0.439
S 0.333 0.667 0.712
O 0.000 0.000 0.360
O 0.667 0.333 0.101

# Pr3Ni

A relaxed structure of Pr3Ni (PBE, the Open Quantum Materials Database).

Values from the calculation:
As for the energy of formation: 4.7 kcal/mol of atoms. As for the symmetry: Pm-3m, No. 221. As for the spin magnetization: 0.02 μB per atom.

Lattice parameters (Å, degrees): 4.839 4.839 4.839 90.00 90.00 90.00
Sites, in units of the cell vectors:
Pr 0.000 0.000 0.500
Pr 0.000 0.500 0.000
Pr 0.500 0.000 0.000
Ni 0.500 0.500 0.500

# Pr2Ga2Ge

A relaxed structure of Pr2Ga2Ge (PBE, the Open Quantum Materials Database).

Values from the calculation:
The energy comes out at -4.795 eV/atom. As for the symmetry: Cmcm, No. 63. As for the spin magnetization: 0.07 μB per atom.

Lattice parameters (Å, degrees): 13.319 13.319 4.433 90.00 90.00 162.11
Sites, in units of the cell vectors:
Pr 0.074 0.926 0.750
Pr 0.296 0.704 0.250
Pr 0.704 0.296 0.750
Pr 0.926 0.074 0.250
Ga 0.382 0.618 0.750
Ga 0.477 0.523 0.750
Ga 0.523 0.477 0.250
Ga 0.618 0.382 0.250
Ge 0.176 0.824 0.250
Ge 0.824 0.176 0.750

# Zr3N2

A relaxed structure of Zr3N2 (PBE, the Open Quantum Materials Database).

Values from the calculation:
The energy comes out at -9.872 eV/atom. As for the symmetry: Immm, No. 71. As for the spin magnetization: 0.00 μB per atom.

Lattice parameters (Å, degrees): 5.689 5.689 5.689 146.41 133.04 58.97
Sites, in units of the cell vectors:
Zr 0.000 0.000 0.000
Zr 0.319 0.319 0.000
Zr 0.681 0.681 0.000
N 0.163 0.663 0.500
N 0.837 0.337 0.500

# PrBiB4

A relaxed structure of PrBiB4 (PBE, the Open Quantum Materials Database).

Values from the calculation:
Its polymorph energy (0 for the lowest one) is 0.084 eV/atom. As for the symmetry: P6/mmm, No. 191. As for the spin magnetization: 0.00 μB per atom.

Lattice parameters (Å, degrees): 3.299 3.299 8.489 90.00 90.00 120.00
Sites, in units of the cell vectors:
Pr 0.000 0.000 0.000
Bi 0.000 0.000 0.500
B 0.333 0.667 0.244
B 0.333 0.667 0.756
B 0.667 0.333 0.244
B 0.667 0.333 0.756

# MgSc5Co4

A relaxed structure of MgSc5Co4 (PBE, the Open Quantum Materials Database).

Values from the calculation:
The energy comes out at -6.473 eV/atom. As for the symmetry: P4/mmm, No. 123. As for the spin magnetization: 0.09 μB per atom.

Lattice parameters (Å, degrees): 3.140 3.140 17.096 90.00 90.00 90.00
Sites, in units of the cell vectors:
Mg 0.000 0.000 0.000
Sc 0.500 0.500 0.139
Sc 0.500 0.500 0.319
Sc 0.500 0.500 0.500
Sc 0.500 0.500 0.681
Sc 0.500 0.500 0.861
Co 0.000 0.000 0.224
Co 0.000 0.000 0.409
Co 0.000 0.000 0.591
Co 0.000 0.000 0.776

# Tl2ZnCuBr6

A relaxed structure of Tl2ZnCuBr6 (PBE, the Open Quantum Materials Database).

Values from the calculation:
The energy comes out at -2.566 eV/atom. As for the symmetry: Fm-3m, No. 225.

Lattice parameters (Å, degrees): 7.364 7.364 7.364 60.00 60.00 60.00
Sites, in units of the cell vectors:
Tl 0.250 0.250 0.250
Tl 0.750 0.750 0.750
Zn 0.000 0.000 0.000
Cu 0.500 0.500 0.500
Br 0.252 0.252 0.748
Br 0.252 0.748 0.252
Br 0.252 0.748 0.748
Br 0.748 0.252 0.252
Br 0.748 0.252 0.748
Br 0.748 0.748 0.252

# Th2Co

A relaxed structure of Th2Co (PBE, the Open Quantum Materials Database).

Values from the calculation:
As for the energy of formation: 27.3 kcal/mol of atoms. As for the symmetry: Fd-3m, No. 227. As for the spin magnetization: 0.04 μB per atom.

Lattice parameters (Å, degrees): 7.933 7.933 7.933 60.00 60.00 60.00
Sites, in units of the cell vectors:
Th 0.000 0.000 0.000
Th 0.000 0.000 0.500
Th 0.000 0.500 0.000
Th 0.500 0.000 0.000
Co 0.125 0.125 0.125
Co 0.875 0.875 0.875

# LuHgGeTe3

A relaxed structure of LuHgGeTe3 (PBE, the Open Quantum Materials Database).

Values from the calculation:
The energy comes out at -3.640 eV/atom. As for the symmetry: Cmcm, No. 63. As for the spin magnetization: 0.00 μB per atom.

Lattice parameters (Å, degrees): 8.111 8.111 11.651 90.00 90.00 148.46
Sites, in units of the cell vectors:
Lu 0.000 0.000 0.000
Lu 0.000 0.000 0.500
Hg 0.255 0.745 0.750
Hg 0.745 0.255 0.250
Ge 0.452 0.548 0.250
Ge 0.548 0.452 0.750
Te 0.064 0.936 0.250
Te 0.367 0.633 0.044
Te 0.367 0.633 0.456
Te 0.633 0.367 0.544
Te 0.633 0.367 0.956
Te 0.936 0.064 0.750

# NpSiNi

A relaxed structure of NpSiNi (PBE, the Open Quantum Materials Database).

Values from the calculation:
The energy comes out at -8.122 eV/atom. As for the symmetry: F-43m, No. 216. As for the spin magnetization: 1.01 μB per atom.

Lattice parameters (Å, degrees): 4.229 4.229 4.229 60.00 60.00 60.00
Sites, in units of the cell vectors:
Np 0.000 0.000 0.000
Si 0.500 0.500 0.500
Ni 0.750 0.750 0.750

# TaPdAu

A relaxed structure of TaPdAu (PBE, the Open Quantum Materials Database).

Values from the calculation:
Its polymorph energy (0 for the lowest one) is 0.000 eV/atom. As for the energy of formation: 5.7 kcal/mol of atoms. As for the symmetry: F-43m, No. 216. As for the spin magnetization: 0.00 μB per atom.

Lattice parameters (Å, degrees): 4.399 4.399 4.399 60.00 60.00 60.00
Sites, in units of the cell vectors:
Ta 0.000 0.000 0.000
Pd 0.250 0.250 0.250
Au 0.750 0.750 0.750

# CsMgNbS3

A relaxed structure of CsMgNbS3 (PBE, the Open Quantum Materials Database).

Values from the calculation:
Its polymorph energy (0 for the lowest one) is 0.122 eV/atom. As for the symmetry: Cmcm, No. 63. As for the spin magnetization: 0.33 μB per atom.

Lattice parameters (Å, degrees): 8.101 8.101 10.127 90.00 90.00 152.70
Sites, in units of the cell vectors:
Cs 0.242 0.758 0.750
Cs 0.758 0.242 0.250
Mg 0.035 0.965 0.250
Mg 0.965 0.035 0.750
Nb 0.500 0.500 0.000
Nb 0.500 0.500 0.500
S 0.110 0.890 0.044
S 0.110 0.890 0.456
S 0.443 0.557 0.250
S 0.557 0.443 0.750
S 0.890 0.110 0.544
S 0.890 0.110 0.956

# PuAg

A relaxed structure of PuAg (PBE, the Open Quantum Materials Database).

Values from the calculation:
As for the energy of formation: 20.3 kcal/mol of atoms. As for the symmetry: F-43m, No. 216. As for the spin magnetization: 3.29 μB per atom.

Lattice parameters (Å, degrees): 4.793 4.793 4.793 60.00 60.00 60.00
Sites, in units of the cell vectors:
Pu 0.000 0.000 0.000
Ag 0.250 0.250 0.250

# Pr2ErMg3CdHg2

A relaxed structure of Pr2ErMg3CdHg2 (PBE, the Open Quantum Materials Database).

Values from the calculation:
The energy comes out at -2.604 eV/atom. As for the symmetry: Amm2, No. 38. As for the spin magnetization: 0.00 μB per atom.

Lattice parameters (Å, degrees): 4.760 7.495 7.495 119.22 90.00 90.00
Sites, in units of the cell vectors:
Pr 0.000 0.211 0.789
Pr 0.000 0.789 0.211
Er 0.000 0.360 0.360
Mg 0.500 0.024 0.024
Mg 0.500 0.543 0.785
Mg 0.500 0.785 0.543
Cd 0.000 0.775 0.775
Hg 0.500 0.128 0.451
Hg 0.500 0.451 0.128

# AlNi

A relaxed structure of AlNi (PBE, the Open Quantum Materials Database).

Values from the calculation:
The energy comes out at -4.927 eV/atom. As for the symmetry: Cmcm, No. 63. As for the spin magnetization: 0.00 μB per atom.

Lattice parameters (Å, degrees): 4.650 4.650 7.916 90.00 90.00 114.48
Sites, in units of the cell vectors:
Al 0.000 0.000 0.000
Al 0.000 0.000 0.500
Al 0.144 0.371 0.750
Al 0.371 0.144 0.250
Al 0.629 0.856 0.750
Al 0.856 0.629 0.250
Ni 0.143 0.857 0.750
Ni 0.337 0.663 0.057
Ni 0.337 0.663 0.443
Ni 0.663 0.337 0.557
Ni 0.663 0.337 0.943
Ni 0.857 0.143 0.250

# NaNpAl

A relaxed structure of NaNpAl (PBE, the Open Quantum Materials Database).

Values from the calculation:
The energy comes out at -4.809 eV/atom. As for the symmetry: F-43m, No. 216. As for the spin magnetization: 1.53 μB per atom.

Lattice parameters (Å, degrees): 4.868 4.868 4.868 60.00 60.00 60.00
Sites, in units of the cell vectors:
Na 0.000 0.000 0.000
Np 0.250 0.250 0.250
Al 0.750 0.750 0.750

# K2ReF6

A relaxed structure of K2ReF6 (PBE, the Open Quantum Materials Database).

Values from the calculation:
The energy comes out at -5.259 eV/atom. As for the symmetry: P6_3mc, No. 186. As for the spin magnetization: 0.33 μB per atom.

Lattice parameters (Å, degrees): 5.560 5.560 8.889 90.00 90.00 120.00
Sites, in units of the cell vectors:
K 0.000 0.000 0.000
K 0.000 0.000 0.500
K 0.333 0.667 0.235
K 0.667 0.333 0.735
Re 0.333 0.667 0.852
Re 0.667 0.333 0.352
F 0.002 0.501 0.981
F 0.161 0.322 0.735
F 0.161 0.839 0.735
F 0.322 0.161 0.235
F 0.499 0.501 0.981
F 0.499 0.998 0.981
F 0.501 0.002 0.481
F 0.501 0.499 0.481
F 0.678 0.839 0.735
F 0.839 0.161 0.235
F 0.839 0.678 0.235
F 0.998 0.499 0.481